# 1
# NaGaSi3

A relaxed NaGaSi3 crystal (PBE, Alexandria via LeMat-Bulk).

Values from the calculation:
size of the total moment = 0.000 μB per formula unit
uncorrected formation energy = 3.95 eV/f.u.
DOS at the Fermi energy = 2.94 states/eV per cell
energy relative to the lowest polymorph listed for this composition = 0.000 eV per atom

The structure in CIF format:
```
data_NaGaSi3
_chemical_formula_sum 'Na1 Ga1 Si3'
_symmetry_space_group_name_H-M 'P m -3 m'
_symmetry_Int_Tables_number 221
_symmetry_space_group_name_Hall '-P 4 2 3'
_cell_length_a 4.900
_cell_length_b 4.900
_cell_length_c 4.900
_cell_angle_alpha 90.00
_cell_angle_beta 90.00
_cell_angle_gamma 90.00
loop_
_atom_site_label
_atom_site_fract_x
_atom_site_fract_y
_atom_site_fract_z
Na1 0.000 0.000 0.000
Ga1 0.500 0.500 0.500
Si1 0.000 0.500 0.500
```

***

# 2
# Na16Ga12Si

A relaxed Na16Ga12Si crystal (PBE, Alexandria via LeMat-Bulk).

Values from the calculation:
size of the total moment = 0.000 μB per formula unit
uncorrected formation energy = -1.54 eV/f.u.
DOS at the Fermi energy = 26.24 states/eV per cell

The structure in CIF format:
```
data_Na16Ga12Si
_chemical_formula_sum 'Na32 Ga24 Si2'
_symmetry_space_group_name_H-M 'C 1 m 1'
_symmetry_Int_Tables_number 8
_cell_length_a 11.049
_cell_length_b 15.505
_cell_length_c 9.342
_cell_angle_alpha 90.00
_cell_angle_beta 122.20
_cell_angle_gamma 90.00
loop_
_symmetry_equiv_pos_as_xyz
'x,y,z'
'x,-y,z'
'x+1/2,y+1/2,z'
'x+1/2,-y+1/2,z'
loop_
_atom_site_label
_atom_site_fract_x
_atom_site_fract_y
_atom_site_fract_z
Na1 0.000 0.000 0.000
Na2 0.007 0.000 0.637
Na3 0.062 0.351 0.039
Na4 0.141 0.500 0.321
Na5 0.157 0.165 0.225
Na6 0.184 0.180 0.628
Na7 0.199 0.500 0.930
Na8 0.300 0.293 0.958
Na9 0.458 0.119 0.618
Na10 0.491 0.186 0.334
Ga1 0.004 0.186 0.814
Ga2 0.178 0.000 0.432
Ga3 0.259 0.091 0.986
Ga4 0.260 0.408 0.664
Ga5 0.336 0.321 0.469
Ga6 0.353 0.000 0.815
Ga7 0.414 0.410 0.284
Si1 0.324 0.000 0.251
```

***

# 3
# NaGaSi

A relaxed NaGaSi crystal (PBE, Alexandria via LeMat-Bulk).

Values from the calculation:
size of the total moment = 0.000 μB per formula unit
uncorrected formation energy = -0.05 eV/f.u.
DOS at the Fermi energy = 2.00 states/eV per cell

The structure in CIF format:
```
data_NaGaSi
_chemical_formula_sum 'Na2 Ga2 Si2'
_symmetry_space_group_name_H-M 'P 1 21/m 1'
_symmetry_Int_Tables_number 11
_cell_length_a 4.760
_cell_length_b 4.051
_cell_length_c 7.227
_cell_angle_alpha 90.00
_cell_angle_beta 90.05
_cell_angle_gamma 90.00
loop_
_symmetry_equiv_pos_as_xyz
'x,y,z'
'-x,-y,-z'
'-x,y+1/2,-z'
'x,-y+1/2,z'
loop_
_atom_site_label
_atom_site_fract_x
_atom_site_fract_y
_atom_site_fract_z
Na1 0.000 0.250 0.246
Ga1 0.499 0.250 0.588
Si1 0.499 0.750 0.084
```

***

# 4
# NaGaSi

A relaxed NaGaSi crystal (PBE, Alexandria via LeMat-Bulk).

Values from the calculation:
size of the total moment = 0.000 μB per formula unit
uncorrected formation energy = 0.08 eV/f.u.
DOS at the Fermi energy = 4.12 states/eV per cell

The structure in CIF format:
```
data_NaGaSi
_chemical_formula_sum 'Na4 Ga4 Si4'
_symmetry_space_group_name_H-M 'C 1 m 1'
_symmetry_Int_Tables_number 8
_cell_length_a 15.534
_cell_length_b 3.632
_cell_length_c 4.921
_cell_angle_alpha 90.00
_cell_angle_beta 108.42
_cell_angle_gamma 90.00
loop_
_symmetry_equiv_pos_as_xyz
'x,y,z'
'x,-y,z'
'x+1/2,y+1/2,z'
'x+1/2,-y+1/2,z'
loop_
_atom_site_label
_atom_site_fract_x
_atom_site_fract_y
_atom_site_fract_z
Na1 0.000 0.000 0.000
Na2 0.139 0.500 0.628
Ga1 0.213 0.000 0.202
Ga2 0.320 0.000 0.866
Si1 0.328 0.500 0.490
Si2 0.420 0.000 0.404
```